Entry 1:
Computed, not measured: a relaxed Y4ErTm crystal at the PBE-GGA level of DFT.

Cell: 8.792 8.792 6.211 Å, 96.75 96.75 23.51°
Sites, in units of the cell vectors:
Y 0.166 0.166 0.389
Y 0.334 0.334 0.111
Y 0.666 0.666 0.889
Y 0.834 0.834 0.611
Er 0.000 0.000 0.000
Tm 0.500 0.500 0.500

Computed properties:
Uncorrected energy in eV per atom: -5.81
Total moment in μB/f.u.: 0.0
Energy of formation from the pure elements in eV/atom: 0.0064
Fermi-level density of states in states/eV per atom: 1.42

Entry 2:
Computed, not measured: a relaxed Zr2AlZn crystal at the PBE-GGA level of DFT.

Cell: 5.212 3.048 5.309 Å, 90.00 109.66 90.00°
Sites, in units of the cell vectors:
Zr 0.000 0.000 0.000
Zr 0.000 0.500 0.500
Al 0.500 0.000 0.500
Zn 0.500 0.500 0.000

Computed properties:
Uncorrected energy in eV per atom: -5.64
Total moment in μB/f.u.: 0.0
Energy of formation from the pure elements in eV/atom: -0.1153
Fermi-level density of states in states/eV per atom: 0.58

Entry 3:
Computed, not measured: a relaxed Ge2PPt8 crystal at the PBE-GGA level of DFT.

Cell: 7.212 7.212 6.534 Å, 105.75 105.75 33.51°
Sites, in units of the cell vectors:
Ge 0.145 0.145 0.088
Ge 0.855 0.855 0.912
P 0.500 0.500 0.500
Pt 0.056 0.056 0.356
Pt 0.242 0.242 0.819
Pt 0.320 0.320 0.468
Pt 0.433 0.433 0.128
Pt 0.567 0.567 0.872
Pt 0.680 0.680 0.532
Pt 0.758 0.758 0.181
Pt 0.944 0.944 0.644

Computed properties:
Uncorrected energy in eV per atom: -5.99
Total moment in μB/f.u.: 0.0
Energy of formation from the pure elements in eV/atom: -0.2642
Fermi-level density of states in states/eV per atom: 0.44

Entry 4:
Computed, not measured: a relaxed HgIr3 crystal at the PBE-GGA level of DFT.

Cell: 3.996 3.996 3.996 Å, 90.00 90.00 90.00°
Sites, in units of the cell vectors:
Hg 0.000 0.000 0.000
Ir 0.000 0.500 0.500
Ir 0.500 0.000 0.500
Ir 0.500 0.500 0.000

Computed properties:
Uncorrected energy in eV per atom: -6.15
Total moment in μB/f.u.: 0.0
Energy of formation from the pure elements in eV/atom: 0.5705
Fermi-level density of states in states/eV per atom: 1.34

Entry 5:
Computed, not measured: a relaxed FeB2 crystal at the PBE-GGA level of DFT.

Cell: 3.031 3.031 2.730 Å, 90.00 90.00 120.00°
Sites, in units of the cell vectors:
Fe 0.000 0.000 0.000
B 0.333 0.667 0.500
B 0.667 0.333 0.500

Computed properties:
Uncorrected energy in eV per atom: -7.32
Total moment in μB/f.u.: 0.7
Energy of formation from the pure elements in eV/atom: -0.0499
Fermi-level density of states in states/eV per atom: 0.87

Entry 6:
Computed, not measured: a relaxed Ir2Se crystal at the PBE-GGA level of DFT.

Cell: 15.557 15.557 15.557 Å, 166.84 166.84 18.65°
Sites, in units of the cell vectors:
Ir 0.035 0.785 0.250
Ir 0.108 0.358 0.750
Ir 0.215 0.965 0.250
Ir 0.358 0.108 0.250
Ir 0.642 0.892 0.750
Ir 0.785 0.035 0.750
Ir 0.892 0.642 0.250
Ir 0.965 0.215 0.750
Se 0.301 0.551 0.750
Se 0.449 0.699 0.750
Se 0.551 0.301 0.250
Se 0.699 0.449 0.250

Computed properties:
Uncorrected energy in eV per atom: -6.56
ΔE_f (raw) in meV/atom: 513
Total moment in μB/f.u.: 0.0
Fermi-level density of states in states/eV per atom: 0.90

Entry 7:
Computed, not measured: a relaxed HoZn5Rh2 crystal at the PBE-GGA level of DFT.

Cell: 6.381 6.381 6.381 Å, 145.71 105.28 84.85°
Sites, in units of the cell vectors:
Ho 0.000 0.000 0.000
Zn 0.161 0.349 0.812
Zn 0.463 0.651 0.812
Zn 0.500 0.000 0.500
Zn 0.537 0.349 0.188
Zn 0.839 0.651 0.188
Rh 0.233 0.733 0.500
Rh 0.767 0.267 0.500

Computed properties:
Uncorrected energy in eV per atom: -3.57
Total moment in μB/f.u.: 0.0
Energy of formation from the pure elements in eV/atom: -0.3675
Fermi-level density of states in states/eV per atom: 0.48

Entry 8:
Computed, not measured: a relaxed Ca2CoN2 crystal at the PBE-GGA level of DFT.

Cell: 8.393 8.393 8.393 Å, 120.26 120.26 89.55°
Sites, in units of the cell vectors:
Ca 0.001 0.501 0.204
Ca 0.203 0.999 0.500
Ca 0.297 0.797 0.796
Ca 0.499 0.703 0.500
Ca 0.501 0.297 0.500
Ca 0.703 0.203 0.204
Ca 0.797 0.001 0.500
Ca 0.999 0.499 0.796
Co 0.148 0.352 0.500
Co 0.352 0.852 0.205
Co 0.648 0.148 0.795
Co 0.852 0.648 0.500
N 0.002 0.209 0.500
N 0.209 0.709 0.207
N 0.291 0.498 0.500
N 0.498 0.998 0.207
N 0.502 0.002 0.793
N 0.709 0.502 0.500
N 0.791 0.291 0.793
N 0.998 0.791 0.500

Computed properties:
Uncorrected energy in eV per atom: -6.03
ΔE_f (raw) in meV/atom: -476
Total moment in μB/f.u.: 0.9
Fermi-level density of states in states/eV per atom: 0.80